## Pm3Dy5 (GGA-PBE)

Data for a geometry-optimized Pm3Dy5 structure.

abc: 3.582 3.582 20.277
angles: 90.00 90.00 90.00
Space group P4/mmm (No. 123)
Symmetry-distinct sites (fractional):
Pm (0.000, 0.000, 0.000)
Pm (0.500, 0.500, 0.374)
Dy (0.000, 0.000, 0.249)
Dy (0.000, 0.000, 0.500)
Dy (0.500, 0.500, 0.126)

Formation energy from the elements, eV/atom: 0.02
E above lowest polymorph, eV/f.u.: 0.02